# 1
## Zn2CoRu (PBE)

Data for an optimized crystal structure of Zn2CoRu.

Results
DOS at the Fermi energy   3.58 states/eV/f.u.
ΔE_f   67 meV per atom

a = 2.6784 Å, b = 2.6784 Å, c = 26.0464 Å
α = 90.00°, β = 90.00°, γ = 120.00°
Space group R3m (No. 160, hexagonal axes)
Asymmetric unit:
Zn (0.0000, 0.0000, 0.0000)
Zn (0.0000, 0.0000, 0.2412)
Co (0.0000, 0.0000, 0.7459)
Ru (0.0000, 0.0000, 0.4887)

---

# 2
## Zn2CoRu (PBE)

Data for an optimized crystal structure of Zn2CoRu.

Results
DOS at the Fermi energy   2.83 states/eV/f.u.
ΔE_f   17 meV per atom

a = 2.678 Å, b = 2.678 Å, c = 7.416 Å
α = 90.00°, β = 90.00°, γ = 90.00°
Space group P4mm (No. 99)
Asymmetric unit:
Zn (0.000, 0.000, 0.000)
Zn (0.500, 0.500, 0.282)
Co (0.000, 0.000, 0.519)
Ru (0.500, 0.500, 0.736)

---

# 3
## Zn2CoRu (PBE)

Data for an optimized crystal structure of Zn2CoRu.

Results
DOS at the Fermi energy   3.44 states/eV/f.u.
ΔE_f   72 meV per atom

a = 8.593 Å, b = 2.633 Å, c = 4.684 Å
α = 90.00°, β = 100.18°, γ = 90.00°
Space group C2/m (No. 12)
Asymmetric unit:
Zn (0.246, 0.000, 0.241)
Co (0.000, 0.500, 0.000)
Ru (0.000, 0.000, 0.500)

---

# 4
## Zn2CoRu (PBE)

Data for an optimized crystal structure of Zn2CoRu.

Results
DOS at the Fermi energy   4.48 states/eV/f.u.
ΔE_f   78 meV per atom

a = 2.993 Å, b = 2.993 Å, c = 5.816 Å
α = 90.00°, β = 90.00°, γ = 90.00°
Space group P4/mmm (No. 123)
Asymmetric unit:
Zn (0.000, 0.000, 0.236)
Co (0.500, 0.500, 0.000)
Ru (0.500, 0.500, 0.500)

---

# 5
## Zr2CoRu (PBE)

Data for an optimized crystal structure of Zr2CoRu.

Results
DOS at the Fermi energy   3.01 states/eV/f.u.
ΔE_f   -87 meV per atom

a = 3.2576 Å, b = 3.2576 Å, c = 23.0092 Å
α = 90.00°, β = 90.00°, γ = 120.00°
Space group R-3m (No. 166, hexagonal axes)
Asymmetric unit:
Zr (0.0000, 0.0000, 0.2455)
Co (0.0000, 0.0000, 0.5000)
Ru (0.0000, 0.0000, 0.0000)

---

# 6
## Zr2Co2Ru (PBE)

Data for an optimized crystal structure of Zr2Co2Ru.

Results
DOS at the Fermi energy   3.00 states/eV/f.u.
ΔE_f   -105 meV per atom

a = 3.235 Å, b = 3.235 Å, c = 15.863 Å
α = 90.00°, β = 90.00°, γ = 90.00°
Space group I4/mmm (No. 139)
Asymmetric unit:
Zr (0.000, 0.000, 0.106)
Co (0.000, 0.500, 0.250)
Ru (0.000, 0.000, 0.500)

---

# 7
## Zr2Co2Ru (PBE)

Data for an optimized crystal structure of Zr2Co2Ru.

Results
DOS at the Fermi energy   5.90 states/eV/f.u.
ΔE_f   -265 meV per atom

a = 6.667 Å, b = 6.667 Å, c = 3.549 Å
α = 90.00°, β = 90.00°, γ = 90.00°
Space group P4/mbm (No. 127)
Asymmetric unit:
Zr (0.185, 0.315, 0.000)
Co (0.118, 0.618, 0.500)
Ru (0.000, 0.000, 0.500)

---

# 8
## ZrCo2Ru (PBE)

Data for an optimized crystal structure of ZrCo2Ru.

Results
DOS at the Fermi energy   5.05 states/eV/f.u.
ΔE_f   -14 meV per atom

a = 5.420 Å, b = 7.178 Å, c = 2.846 Å
α = 90.00°, β = 90.00°, γ = 90.00°
Space group Cmmm (No. 65)
Asymmetric unit:
Zr (0.000, 0.000, 0.000)
Co (0.250, 0.250, 0.500)
Ru (0.000, 0.500, 0.000)

---

# 9
## Zr5CoRu4 (PBE)

Data for an optimized crystal structure of Zr5CoRu4.

Results
DOS at the Fermi energy   5.28 states/eV/f.u.
ΔE_f   -565 meV per atom

a = 3.263 Å, b = 3.263 Å, c = 16.263 Å
α = 90.00°, β = 90.00°, γ = 90.00°
Space group P4/mmm (No. 123)
Asymmetric unit:
Zr (0.000, 0.000, 0.000)
Zr (0.000, 0.000, 0.202)
Zr (0.000, 0.000, 0.404)
Co (0.500, 0.500, 0.500)
Ru (0.500, 0.500, 0.101)
Ru (0.500, 0.500, 0.303)

---

# 10
## ZrCoRu3 (PBE)

Data for an optimized crystal structure of ZrCoRu3.

Results
DOS at the Fermi energy   6.81 states/eV/f.u.
ΔE_f   772 meV per atom

a = 4.428 Å, b = 4.428 Å, c = 4.428 Å
α = 90.00°, β = 90.00°, γ = 90.00°
Space group Pm-3m (No. 221)
Asymmetric unit:
Zr (0.000, 0.000, 0.000)
Co (0.500, 0.500, 0.500)
Ru (0.000, 0.500, 0.500)

---

# 11
## ZrCo4Ru (PBE)

Data for an optimized crystal structure of ZrCo4Ru.

Results
DOS at the Fermi energy   5.97 states/eV/f.u.
ΔE_f   -157 meV per atom

a = 6.791 Å, b = 6.791 Å, c = 6.791 Å
α = 90.00°, β = 90.00°, γ = 90.00°
Space group F-43m (No. 216)
Asymmetric unit:
Zr (0.000, 0.000, 0.000)
Co (0.125, 0.125, 0.625)
Ru (0.250, 0.250, 0.250)

---

# 12
## ZrCo2Ru (PBE)

Data for an optimized crystal structure of ZrCo2Ru.

Results
DOS at the Fermi energy   5.65 states/eV/f.u.
ΔE_f   -121 meV per atom

a = 3.861 Å, b = 3.861 Å, c = 3.719 Å
α = 90.00°, β = 90.00°, γ = 90.00°
Space group P4/mmm (No. 123)
Asymmetric unit:
Zr (0.000, 0.000, 0.000)
Co (0.000, 0.500, 0.500)
Ru (0.500, 0.500, 0.000)

---

- Among the records above, which one has the highest ΔE_f?
  ZrCoRu3

---

What did the tenth record say?
## ZrCoRu3 (PBE)

Data for an optimized crystal structure of ZrCoRu3.

Results
DOS at the Fermi energy   6.81 states/eV/f.u.
ΔE_f   772 meV per atom

a = 4.428 Å, b = 4.428 Å, c = 4.428 Å
α = 90.00°, β = 90.00°, γ = 90.00°
Space group Pm-3m (No. 221)
Asymmetric unit:
Zr (0.000, 0.000, 0.000)
Co (0.500, 0.500, 0.500)
Ru (0.000, 0.500, 0.500)